This record from the Alexandria database describes a geometry-optimized Tc3C structure. The functional is PBE-GGA.

a b c (Å): 4.1768 4.1768 4.1768
angles (deg): 60.00 60.00 60.00
With the nearest neighbours (Å) after each atom.
Atoms (fractional coordinates):
C: 0.0000 0.0000 0.0000  8 Tc 2.56
Tc: 0.2500 0.2500 0.2500  4 Tc 2.56, 4 C 2.56
Tc: 0.5000 0.5000 0.5000  8 Tc 2.56
Tc: 0.7500 0.7500 0.7500  4 C 2.56, 4 Tc 2.56

## Properties
Calculated total energy in Ha/atom: -0.328
Magnetization in μB/atom: 0.00
Excess energy over the best structure of this formula in the dataset in eV per atom: 1.145
Energy of formation in meV per atom: 1155

---

This record from the Alexandria database describes a geometry-optimized Tc3C4 structure. The functional is PBE-GGA.

a b c (Å): 5.8290 5.8290 2.6484
angles (deg): 90.00 90.00 120.00
With the nearest neighbours (Å) after each atom.
Atoms (fractional coordinates):
Tc: 0.0000 0.5000 0.0000  4 C 2.14
Tc: 0.5000 0.5000 0.0000  4 C 2.14
Tc: 0.5000 0.0000 0.0000  4 C 2.14
C: 0.0000 0.0000 0.2529  2 C 1.31-1.34
C: 0.0000 0.0000 0.7471  2 C 1.31-1.34
C: 0.6667 0.3333 0.5000  6 Tc 2.14
C: 0.3333 0.6667 0.5000  6 Tc 2.14

## Properties
Calculated total energy in Ha/atom: -0.320
Magnetization in μB/atom: 0.00
Excess energy over the best structure of this formula in the dataset in eV per atom: 0.122
Energy of formation in meV per atom: 1013

---

This record from the Alexandria database describes a geometry-optimized TcC3 structure. The functional is PBE-GGA.

a b c (Å): 2.9368 2.9368 5.5778
angles (deg): 105.30 105.30 59.85
With the nearest neighbours (Å) after each atom.
Atoms (fractional coordinates):
C: 0.5000 0.5000 0.5000  2 C 1.31
C: 0.4171 0.4171 0.2540  1 C 1.31
C: 0.5829 0.5829 0.7460  1 C 1.31
Tc: 0.0000 0.0000 0.0000  6 C 2.16-2.17

## Properties
Calculated total energy in Ha/atom: -0.321
Magnetization in μB/atom: 0.00
Excess energy over the best structure of this formula in the dataset in eV per atom: 0.000
Energy of formation in meV per atom: 782

---

This record from the Alexandria database describes a geometry-optimized TcC2 structure. The functional is PBE-GGA.

a b c (Å): 3.5159 3.5159 3.5159
angles (deg): 60.00 60.00 60.00
With the nearest neighbours (Å) after each atom.
Atoms (fractional coordinates):
C: 0.2500 0.2500 0.2500  4 Tc 2.15
C: 0.7500 0.7500 0.7500  4 Tc 2.15
Tc: 0.0000 0.0000 0.0000  8 C 2.15

## Properties
Calculated total energy in Ha/atom: -0.285
Magnetization in μB/atom: 0.03
Excess energy over the best structure of this formula in the dataset in eV per atom: 1.386
Energy of formation in meV per atom: 1842

---

This record from the Alexandria database describes a geometry-optimized Tc4C3 structure. The functional is PBE-GGA.

a b c (Å): 4.2550 4.2550 4.2550
angles (deg): 90.00 90.00 90.00
With the nearest neighbours (Å) after each atom.
Atoms (fractional coordinates):
Tc: 0.0000 0.0000 0.0000  6 C 2.13
Tc: 0.0000 0.5000 0.5000  4 C 2.13
Tc: 0.5000 0.0000 0.5000  4 C 2.13
Tc: 0.5000 0.5000 0.0000  4 C 2.13
C: 0.0000 0.5000 0.0000  6 Tc 2.13
C: 0.0000 0.0000 0.5000  6 Tc 2.13
C: 0.5000 0.0000 0.0000  6 Tc 2.13

## Properties
Calculated total energy in Ha/atom: -0.344
Magnetization in μB/atom: 0.00
Excess energy over the best structure of this formula in the dataset in eV per atom: 0.000
Energy of formation in meV per atom: 503

---

This record from the Alexandria database describes a geometry-optimized TcC3 structure. The functional is PBE-GGA.

a b c (Å): 3.5960 3.5960 2.7419
angles (deg): 90.00 90.00 108.40
With the nearest neighbours (Å) after each atom.
Atoms (fractional coordinates):
C: 0.0000 0.5000 0.5000  6 C 2.10-2.26, 4 Tc 2.26
C: 0.5000 0.0000 0.5000  6 C 2.10-2.26, 4 Tc 2.26
C: 0.5000 0.5000 0.0000  2 Tc 2.10, 8 C 2.26
Tc: 0.0000 0.0000 0.0000  10 C 2.10-2.26

## Properties
Calculated total energy in Ha/atom: -0.260
Magnetization in μB/atom: 0.00
Excess energy over the best structure of this formula in the dataset in eV per atom: 1.655
Energy of formation in meV per atom: 2437

---

This record from the Alexandria database describes a geometry-optimized TcC structure. The functional is PBE-GGA.

a b c (Å): 4.1990 4.1990 4.1304
angles (deg): 90.00 90.00 90.00
With the nearest neighbours (Å) after each atom.
Atoms (fractional coordinates):
Tc: 0.5000 0.5000 0.5000  6 C 2.07-2.10
Tc: 0.5000 0.0000 0.0000  4 C 2.07-2.10
Tc: 0.0000 0.5000 0.0000  4 C 2.07-2.10
C: 0.5000 0.5000 0.0000  6 Tc 2.07-2.10
C: 0.0000 0.5000 0.5000  4 Tc 2.07-2.10
C: 0.5000 0.0000 0.5000  4 Tc 2.07-2.10

## Properties
Calculated total energy in Ha/atom: -0.330
Magnetization in μB/atom: 0.00
Excess energy over the best structure of this formula in the dataset in eV per atom: 0.608
Energy of formation in meV per atom: 828

---

This record from the Alexandria database describes a geometry-optimized TcC2 structure. The functional is PBE-GGA.

a b c (Å): 2.8261 2.8261 6.4839
angles (deg): 90.00 90.00 90.00
With the nearest neighbours (Å) after each atom.
Atoms (fractional coordinates):
Tc: 0.5000 0.0000 0.7359  9 C 2.17-2.22
Tc: 0.0000 0.5000 0.2641  9 C 2.17-2.22
C: 0.0000 0.0000 0.0000  4 C 2.00, 4 Tc 2.22
C: 0.5000 0.5000 0.0000  4 C 2.00, 4 Tc 2.22
C: 0.5000 0.0000 0.4017  5 Tc 2.17-2.19, 4 C 2.37
C: 0.0000 0.5000 0.5983  5 Tc 2.17-2.19, 4 C 2.37

## Properties
Calculated total energy in Ha/atom: -0.307
Magnetization in μB/atom: 0.00
Excess energy over the best structure of this formula in the dataset in eV per atom: 0.791
Energy of formation in meV per atom: 1247

---

This record from the Alexandria database describes a geometry-optimized TcC structure. The functional is PBE-GGA.

a b c (Å): 5.2435 5.2435 5.2435
angles (deg): 37.88 37.88 37.88
With the nearest neighbours (Å) after each atom.
Atoms (fractional coordinates):
C: 0.2520 0.2520 0.2520  3 Tc 1.98
C: 0.7480 0.7480 0.7480  3 Tc 1.98
Tc: 0.0983 0.0983 0.0983  3 C 1.98
Tc: 0.9017 0.9017 0.9017  3 C 1.98

## Properties
Calculated total energy in Ha/atom: -0.341
Magnetization in μB/atom: 0.00
Excess energy over the best structure of this formula in the dataset in eV per atom: 0.304
Energy of formation in meV per atom: 524

---

This record from the Alexandria database describes a geometry-optimized TcC structure. The functional is PBE-GGA.

a b c (Å): 3.2385 3.2385 3.2385
angles (deg): 53.22 53.22 53.22
With the nearest neighbours (Å) after each atom.
Atoms (fractional coordinates):
C: 0.0000 0.0000 0.0000  6 Tc 2.17
Tc: 0.5000 0.5000 0.5000  6 C 2.17

## Properties
Calculated total energy in Ha/atom: -0.337
Magnetization in μB/atom: 0.00
Excess energy over the best structure of this formula in the dataset in eV per atom: 0.394
Energy of formation in meV per atom: 614

---

This record from the Alexandria database describes a geometry-optimized TcC2 structure. The functional is PBE-GGA.

a b c (Å): 5.6750 5.6750 2.8980
angles (deg): 90.00 90.00 120.00
With the nearest neighbours (Å) after each atom.
Atoms (fractional coordinates):
Tc: 0.3333 0.6667 0.0000  9 C 2.09-2.28
Tc: 0.6667 0.3333 0.0000  9 C 2.09-2.28
Tc: 0.0000 0.0000 0.5000  9 C 2.12-2.18
C: 0.2717 0.0000 0.0000  4 Tc 2.09-2.12
C: 0.0000 0.2717 0.0000  4 Tc 2.09-2.12
C: 0.7283 0.7283 0.0000  4 Tc 2.09-2.12
C: 0.6166 0.0000 0.5000  5 Tc 2.18-2.28, 6 C 2.42-2.44
C: 0.0000 0.6166 0.5000  5 Tc 2.18-2.28, 6 C 2.42-2.44
C: 0.3834 0.3834 0.5000  5 Tc 2.18-2.28, 6 C 2.42-2.44

## Properties
Calculated total energy in Ha/atom: -0.300
Magnetization in μB/atom: 0.00
Excess energy over the best structure of this formula in the dataset in eV per atom: 0.978
Energy of formation in meV per atom: 1434

---

This record from the Alexandria database describes a geometry-optimized TcC3 structure. The functional is PBE-GGA.

a b c (Å): 4.3533 5.8276 5.6456
angles (deg): 90.00 90.00 90.00
With the nearest neighbours (Å) after each atom.
Atoms (fractional coordinates):
C: 0.1938 0.9122 0.7500  2 C 1.47
C: 0.6938 0.5878 0.2500  2 C 1.47
C: 0.3062 0.4122 0.7500  2 C 1.47
C: 0.8062 0.0878 0.2500  2 C 1.47
C: 0.6390 0.0764 0.0245  2 C 1.47-1.53
C: 0.1390 0.4236 0.9755  2 C 1.47-1.53
C: 0.8610 0.5764 0.4755  2 C 1.47-1.53
C: 0.3610 0.9236 0.5245  2 C 1.47-1.53
C: 0.3610 0.9236 0.9755  2 C 1.47-1.53
C: 0.8610 0.5764 0.0245  2 C 1.47-1.53
C: 0.1390 0.4236 0.5245  2 C 1.47-1.53
C: 0.6390 0.0764 0.4755  2 C 1.47-1.53
Tc: 0.7420 0.8103 0.7500  7 C 2.05-2.24
Tc: 0.2420 0.6897 0.2500  7 C 2.05-2.24
Tc: 0.7580 0.3103 0.7500  7 C 2.05-2.24
Tc: 0.2580 0.1897 0.2500  7 C 2.05-2.24

## Properties
Calculated total energy in Ha/atom: -0.319
Magnetization in μB/atom: 0.00
Excess energy over the best structure of this formula in the dataset in eV per atom: 0.055
Energy of formation in meV per atom: 837